# CaMn2B2O6 | Alexandria via LeMat-Bulk | PBE with a Hubbard U | optimized geometry
data_CaMn2B2O6
_chemical_formula_sum 'Ca1 Mn2 B2 O6'
_cell_length_a 5.227
_cell_length_b 5.227
_cell_length_c 5.928
_cell_angle_alpha 90.00
_cell_angle_beta 90.00
_cell_angle_gamma 120.00
_symmetry_space_group_name_H-M 'P 1'
_symmetry_Int_Tables_number 1
loop_
_symmetry_equiv_pos_as_xyz
'x,y,z'
loop_
_atom_site_label
_atom_site_type_symbol
_atom_site_fract_x
_atom_site_fract_y
_atom_site_fract_z
_atom_site_occupancy
Ca1 Ca 0.000 0.000 0.000 1
Mn1 Mn 0.333 0.667 0.329 1
Mn2 Mn 0.667 0.333 0.671 1
B1 B 0.333 0.667 0.767 1
B2 B 0.667 0.333 0.233 1
O1 O 0.072 0.674 0.760 1
O2 O 0.326 0.398 0.760 1
O3 O 0.398 0.072 0.240 1
O4 O 0.602 0.928 0.760 1
O5 O 0.674 0.602 0.240 1
O6 O 0.928 0.326 0.240 1
# - E_tot (eV per cell) = -84.7